CsY3Tl | PBE-GGA | relaxed

a = 5.6708 Å, b = 5.6708 Å, c = 5.6708 Å
α = 90.00°, β = 90.00°, γ = 90.00°
Positions (direct):
Cs1 0.0000 0.0000 0.0000
Y1 0.0000 0.5000 0.0000
Y2 0.0000 0.0000 0.5000
Y3 0.5000 0.0000 0.0000
Tl1 0.5000 0.5000 0.5000

- formation energy from the elements (kJ/mol of formula units) = 578
- ΔE to the lowest computed polymorph (meV per atom) = 754
- calculated total energy (eV/cell) = -16.6
- space-group type = Pm-3m, No. 221
- magnetic moment (μB/cell) = 0.00